[1]
Here is crystalline ErPuPt at its relaxed geometry from Alexandria via LeMat-Bulk. Energies are from GGA-PBE.

The space group is P3m1 (No. 156) and the conventional cell measures 4.6980, 4.6980 and 3.7674 Å, with angles of 90.00, 90.00 and 120.00 degrees. The inequivalent atoms are Er at (0.0000, 0.0000, 0.0000), Pu at (0.3333, 0.6667, 0.5587) and Pt at (0.6667, 0.3333, 0.2706).

As for the polymorph energy (0 for the lowest one): 0.1436 eV per atom.

[2]
Here is crystalline ErPuPt4 at its relaxed geometry from Alexandria via LeMat-Bulk. Energies are from GGA-PBE.

The space group is F-43m (No. 216) and the conventional cell measures 7.691, 7.691 and 7.691 Å, with angles of 90.00, 90.00 and 90.00 degrees. The inequivalent atoms are Er at (0.000, 0.000, 0.000), Pu at (0.250, 0.250, 0.750) and Pt at (0.125, 0.125, 0.375).

Number 1: formation energy -1.4 eV/f.u.. Number 2: formation energy -5.8 eV/f.u..